Entry 1:
VASP calculation (PBEsol) on an optimized crystal structure of Al4InRe.

abc: 5.1063 5.1063 5.1063
angles: 60.00 60.00 60.00
With the nearest neighbours (Å) after each atom.
Sites, in units of the cell vectors:
Re (0.0000, 0.0000, 0.0000)  12 Al 2.99, 4 In 3.13
Al (0.3731, 0.3731, 0.3731)  6 Al 2.51-2.59
Al (0.3731, 0.3731, 0.8806)  6 Al 2.51-2.59
Al (0.8806, 0.3731, 0.3731)  6 Al 2.51-2.59
Al (0.3731, 0.8806, 0.3731)  6 Al 2.51-2.59
In (0.7500, 0.7500, 0.7500)  12 Al 3.00, 4 Re 3.13

Output
E = -5.250 eV/atom
formation energy = 197 meV/atom
density of states at the Fermi level = 1.91 states/eV per cell

Entry 2:
VASP calculation (PBEsol) on an optimized crystal structure of AlIn2Re.

abc: 3.6100 4.3387 4.4857
angles: 90.00 90.00 90.00
With the nearest neighbours (Å) after each atom.
Sites, in units of the cell vectors:
Re (0.5000, 0.0000, 0.5000)  4 Al 2.82, 8 In 2.88-3.12
Al (0.0000, 0.5000, 0.5000)  4 Re 2.82, 8 In 2.88-3.12
In (0.0000, 0.0000, 0.0000)  4 In 2.82, 4 Re 2.88, 4 Al 3.12
In (0.5000, 0.5000, 0.0000)  4 In 2.82, 4 Al 2.88, 4 Re 3.12

Output
E = -5.349 eV/atom
formation energy = 498 meV/atom
density of states at the Fermi level = 2.26 states/eV per cell

Entry 3:
VASP calculation (PBEsol) on an optimized crystal structure of AlInReTc2.

abc: 4.4253 4.4253 4.4728
angles: 90.00 90.00 90.00
With the nearest neighbours (Å) after each atom.
Sites, in units of the cell vectors:
Re (0.0000, 0.0000, 0.5000)  2 Al 2.24
Al (0.0000, 0.0000, 0.0000)  4 Tc 2.21, 2 Re 2.24
Tc (0.0000, 0.5000, 0.0000)  2 Al 2.21
Tc (0.5000, 0.0000, 0.0000)  2 Al 2.21
In (0.5000, 0.5000, 0.5000)  4 Re 3.13, 8 Tc 3.15

Output
E = -7.175 eV/atom
formation energy = 1413 meV/atom
density of states at the Fermi level = 6.27 states/eV per cell

Entry 4:
VASP calculation (PBEsol) on an optimized crystal structure of Al2InRh.

abc: 3.0563 4.6843 4.8614
angles: 99.65 90.00 109.04
With the nearest neighbours (Å) after each atom.
Sites, in units of the cell vectors:
Rh (0.5000, 0.0000, 0.0000)  6 Al 2.65-2.74, 4 In 2.87
Al (0.7648, 0.5295, 0.7808)  3 Rh 2.65-2.74, 2 Al 2.67, 3 In 2.69-2.93
Al (0.2352, 0.4705, 0.2192)  3 Rh 2.65-2.74, 2 Al 2.67, 3 In 2.69-2.93
In (0.0000, 0.0000, 0.5000)  6 Al 2.69-2.93, 4 Rh 2.87

Output
E = -5.124 eV/atom
formation energy = -298 meV/atom
density of states at the Fermi level = 1.37 states/eV per cell

Entry 5:
VASP calculation (PBEsol) on an optimized crystal structure of Al2InRh.

abc: 3.0307 4.7823 5.3556
angles: 115.98 105.64 91.72
With the nearest neighbours (Å) after each atom.
Sites, in units of the cell vectors:
Rh (0.5000, 0.5000, 0.0000)  4 Al 2.68, 4 In 2.79-2.87
Al (0.0000, 0.0000, 0.5000)  2 In 2.68, 2 Rh 2.68, 4 Al 2.79-2.87
Al (0.5000, 0.5000, 0.5000)  2 In 2.68, 2 Rh 2.68, 4 Al 2.79-2.87
In (0.0000, 0.0000, 0.0000)  4 Al 2.68, 4 Rh 2.79-2.87

Output
E = -4.964 eV/atom
formation energy = -138 meV/atom
density of states at the Fermi level = 1.41 states/eV per cell

Entry 6:
VASP calculation (PBEsol) on an optimized crystal structure of Al2InRh.

abc: 4.0017 4.0017 4.8680
angles: 114.27 114.27 90.00
With the nearest neighbours (Å) after each atom.
Sites, in units of the cell vectors:
Rh (0.0000, 0.0000, 0.0000)  8 Al 2.82, 4 In 2.83
Al (0.7500, 0.2500, 0.5000)  4 In 2.82, 4 Rh 2.82, 4 Al 2.83
Al (0.2500, 0.7500, 0.5000)  4 In 2.82, 4 Rh 2.82, 4 Al 2.83
In (0.5000, 0.5000, 0.0000)  8 Al 2.82, 4 Rh 2.83

Output
E = -5.072 eV/atom
formation energy = -246 meV/atom
density of states at the Fermi level = 2.15 states/eV per cell

Entry 7:
VASP calculation (PBEsol) on an optimized crystal structure of Al4InRh.

abc: 5.2049 5.2049 5.2049
angles: 60.00 60.00 60.00
With the nearest neighbours (Å) after each atom.
Sites, in units of the cell vectors:
Rh (0.0000, 0.0000, 0.0000)  12 Al 3.05, 4 In 3.19
Al (0.3747, 0.3747, 0.3747)  6 Al 2.60-2.61
Al (0.3747, 0.3747, 0.8760)  6 Al 2.60-2.61
Al (0.8760, 0.3747, 0.3747)  6 Al 2.60-2.61
Al (0.3747, 0.8760, 0.3747)  6 Al 2.60-2.61
In (0.7500, 0.7500, 0.7500)  12 Al 3.05, 4 Rh 3.19

Output
E = -4.479 eV/atom
formation energy = 102 meV/atom
density of states at the Fermi level = 3.56 states/eV per cell

Entry 8:
VASP calculation (PBEsol) on an optimized crystal structure of AlIn2Ru.

abc: 3.0519 3.0519 8.1526
angles: 90.00 90.00 90.00
With the nearest neighbours (Å) after each atom.
Sites, in units of the cell vectors:
Ru (0.0000, 0.0000, 0.5305)  4 Al 2.50
Al (0.5000, 0.5000, 0.6853)  4 Ru 2.50
In (0.0000, 0.0000, 0.9733)  4 In 3.05, 4 Al 3.19
In (0.5000, 0.5000, 0.3109)  4 Ru 2.80, 4 In 3.05, 1 Al 3.05

Output
E = -5.143 eV/atom
formation energy = -86 meV/atom
density of states at the Fermi level = 2.19 states/eV per cell

Entry 9:
VASP calculation (PBEsol) on an optimized crystal structure of AlInRu2.

abc: 4.4081 4.4081 4.4081
angles: 60.00 60.00 60.00
With the nearest neighbours (Å) after each atom.
Sites, in units of the cell vectors:
Ru (0.0000, 0.0000, 0.0000)  4 In 2.70, 4 Ru 2.70
Ru (0.7500, 0.7500, 0.7500)  4 Al 2.70, 4 Ru 2.70
Al (0.5000, 0.5000, 0.5000)  4 In 2.70, 4 Ru 2.70
In (0.2500, 0.2500, 0.2500)  4 Ru 2.70, 4 Al 2.70

Output
E = -6.656 eV/atom
formation energy = 199 meV/atom
density of states at the Fermi level = 5.54 states/eV per cell

Entry 10:
VASP calculation (PBEsol) on an optimized crystal structure of AlInRu2.

abc: 2.8722 3.7268 5.6910
angles: 90.00 90.00 90.00
With the nearest neighbours (Å) after each atom.
Sites, in units of the cell vectors:
Ru (0.0000, 0.0000, 0.0143)  1 Al 2.53, 4 Ru 2.75, 4 In 2.75
Ru (0.5000, 0.5000, 0.2636)  4 Al 2.60, 6 Ru 2.75-2.87, 2 In 2.84-2.85
Al (0.0000, 0.0000, 0.4586)  5 Ru 2.53-2.60
In (0.5000, 0.5000, 0.7635)  6 Ru 2.75-2.85, 2 In 2.87, 4 Al 2.92

Output
E = -6.836 eV/atom
formation energy = 19 meV/atom
density of states at the Fermi level = 4.57 states/eV per cell

Entry 11:
VASP calculation (PBEsol) on an optimized crystal structure of AlInRu2.

abc: 3.0960 4.3658 4.3658
angles: 90.00 90.00 90.00
With the nearest neighbours (Å) after each atom.
Sites, in units of the cell vectors:
Ru (0.0000, 0.0000, 0.5000)  4 In 2.68, 4 Al 2.68
Ru (0.0000, 0.5000, 0.0000)  4 In 2.68, 4 Al 2.68
Al (0.5000, 0.5000, 0.5000)  8 Ru 2.68
In (0.5000, 0.0000, 0.0000)  8 Ru 2.68

Output
E = -7.036 eV/atom
formation energy = -181 meV/atom
density of states at the Fermi level = 4.76 states/eV per cell

Entry 12:
VASP calculation (PBEsol) on an optimized crystal structure of AlIn3S.

abc: 5.1773 5.1773 5.1773
angles: 90.00 90.00 90.00
With the nearest neighbours (Å) after each atom.
Sites, in units of the cell vectors:
S (0.5000, 0.5000, 0.5000)  12 In 3.66
Al (0.0000, 0.0000, 0.0000)  6 In 2.59
In (0.0000, 0.5000, 0.0000)  2 Al 2.59
In (0.0000, 0.0000, 0.5000)  2 Al 2.59
In (0.5000, 0.0000, 0.0000)  2 Al 2.59

Output
ΔE_f (raw) = 1.8 eV/f.u.
E = -3.133 eV/atom
density of states at the Fermi level = 1.97 states/eV per cell

Entry 13:
VASP calculation (PBEsol) on an optimized crystal structure of AlIn3S.

abc: 5.1606 5.1606 5.1606
angles: 90.00 90.00 90.00
With the nearest neighbours (Å) after each atom.
Sites, in units of the cell vectors:
S (0.0000, 0.0000, 0.0000)  6 In 2.58
Al (0.5000, 0.5000, 0.5000)  12 In 3.65
In (0.0000, 0.5000, 0.0000)  2 S 2.58
In (0.0000, 0.0000, 0.5000)  2 S 2.58
In (0.5000, 0.0000, 0.0000)  2 S 2.58

Output
ΔE_f (raw) = 2.2 eV/f.u.
E = -3.045 eV/atom
density of states at the Fermi level = 3.33 states/eV per cell

Entry 14:
VASP calculation (PBEsol) on an optimized crystal structure of AlInS3.

abc: 6.6881 6.6881 17.7578
angles: 90.00 90.00 120.00
With the nearest neighbours (Å) after each atom.
Sites, in units of the cell vectors:
Al (0.0161, 0.3303, 0.6803)  4 S 2.24-2.29
Al (0.6697, 0.6859, 0.0136)  4 S 2.24-2.29
Al (0.9839, 0.6697, 0.1803)  4 S 2.24-2.29
Al (0.3303, 0.3141, 0.5136)  4 S 2.24-2.29
Al (0.6859, 0.0161, 0.8470)  4 S 2.24-2.29
Al (0.3141, 0.9839, 0.3470)  4 S 2.24-2.29
In (0.3370, 0.3330, 0.8745)  5 S 2.49-2.68
In (0.0041, 0.3370, 0.0412)  5 S 2.49-2.68
In (0.6670, 0.0041, 0.2078)  5 S 2.49-2.68
In (0.3330, 0.9959, 0.7078)  5 S 2.49-2.68
In (0.9959, 0.6630, 0.5412)  5 S 2.49-2.68
In (0.6630, 0.6670, 0.3745)  5 S 2.49-2.68
S (0.6738, 0.0418, 0.3585)  1 Al 2.25, 1 In 2.49
S (0.0079, 0.7174, 0.0524)  2 Al 2.27-2.29, 1 In 2.54
S (0.6505, 0.6248, 0.2250)  1 Al 2.24, 1 In 2.50
S (0.2905, 0.0079, 0.2191)  2 Al 2.27-2.29, 1 In 2.54
S (0.6320, 0.6738, 0.5251)  1 Al 2.25, 1 In 2.49
S (0.3752, 0.0257, 0.5583)  1 Al 2.24, 1 In 2.50
S (0.7095, 0.9921, 0.7191)  2 Al 2.27-2.29, 1 In 2.54
S (0.3495, 0.3752, 0.7250)  1 Al 2.24, 1 In 2.50
S (0.3680, 0.3262, 0.0251)  1 Al 2.25, 1 In 2.49
S (0.7174, 0.7095, 0.8857)  2 Al 2.27-2.29, 1 In 2.54
S (0.0418, 0.3680, 0.1918)  1 Al 2.25, 1 In 2.49
S (0.2826, 0.2905, 0.3857)  2 Al 2.27-2.29, 1 In 2.54
S (0.0257, 0.6505, 0.3916)  1 Al 2.24, 1 In 2.50
S (0.9582, 0.6320, 0.6918)  1 Al 2.25, 1 In 2.49
S (0.9921, 0.2826, 0.5524)  2 Al 2.27-2.29, 1 In 2.54
S (0.3262, 0.9582, 0.8585)  1 Al 2.25, 1 In 2.49
S (0.6248, 0.9743, 0.0583)  1 Al 2.24, 1 In 2.50
S (0.9743, 0.3495, 0.8916)  1 Al 2.24, 1 In 2.50

Output
ΔE_f (raw) = -4.1 eV/f.u.
E = -4.867 eV/atom
density of states at the Fermi level = 0.00 states/eV per cell

Entry 15:
VASP calculation (PBEsol) on an optimized crystal structure of AlInSb2.

abc: 6.3337 6.3337 7.7492
angles: 114.12 114.12 90.00
With the nearest neighbours (Å) after each atom.
Sites, in units of the cell vectors:
Sb (0.8551, 0.3750, 0.2500)  2 Al 2.67, 2 In 2.82
Sb (0.3949, 0.8750, 0.2500)  2 Al 2.67, 2 In 2.82
Sb (0.6250, 0.6051, 0.7500)  2 Al 2.67, 2 In 2.82
Sb (0.1250, 0.1449, 0.7500)  2 Al 2.67, 2 In 2.82
Al (0.7500, 0.2500, 0.5000)  4 Sb 2.67
Al (0.5000, 0.5000, 0.0000)  4 Sb 2.67
In (0.2500, 0.7500, 0.5000)  4 Sb 2.82
In (0.0000, 0.0000, 0.0000)  4 Sb 2.82

Output
ΔE_f (raw) = -0.4 eV/f.u.
E = -4.142 eV/atom

Entry 16:
VASP calculation (PBEsol) on an optimized crystal structure of AlInSb2.

abc: 5.1698 5.1698 5.1698
angles: 60.00 60.00 60.00
With the nearest neighbours (Å) after each atom.
Sites, in units of the cell vectors:
Sb (0.0000, 0.0000, 0.0000)  4 In 3.17, 4 Sb 3.17
Sb (0.7500, 0.7500, 0.7500)  4 Sb 3.17, 4 Al 3.17
Al (0.5000, 0.5000, 0.5000)  4 Sb 3.17, 4 In 3.17
In (0.2500, 0.2500, 0.2500)  4 Al 3.17, 4 Sb 3.17

Output
ΔE_f (raw) = 0.8 eV/f.u.
E = -3.849 eV/atom
density of states at the Fermi level = 2.93 states/eV per cell

Entry 17:
VASP calculation (PBEsol) on an optimized crystal structure of AlInSb2.

abc: 4.4786 4.4786 6.3333
angles: 90.00 90.00 90.00
With the nearest neighbours (Å) after each atom.
Sites, in units of the cell vectors:
Sb (0.0000, 0.5000, 0.2340)  2 Al 2.69, 2 In 2.80
Sb (0.5000, 0.0000, 0.7660)  2 Al 2.69, 2 In 2.80
Al (0.0000, 0.0000, 0.0000)  4 Sb 2.69
In (0.5000, 0.5000, 0.5000)  4 Sb 2.80

Output
ΔE_f (raw) = -0.4 eV/f.u.
E = -4.135 eV/atom

Entry 18:
VASP calculation (PBEsol) on an optimized crystal structure of AlInSb.

abc: 3.1988 3.1988 7.9147
angles: 90.00 90.00 120.00
With the nearest neighbours (Å) after each atom.
Sites, in units of the cell vectors:
Sb (0.6667, 0.3333, 0.3065)  3 Al 3.03, 6 Sb 3.20
Al (0.0000, 0.0000, 0.0034)  3 Sb 3.03, 3 In 3.09, 6 Al 3.20
In (0.3333, 0.6667, 0.6901)  3 Al 3.09, 6 In 3.20

Output
ΔE_f (raw) = 0.5 eV/f.u.
E = -3.706 eV/atom
density of states at the Fermi level = 1.65 states/eV per cell

Entry 19:
VASP calculation (PBEsol) on an optimized crystal structure of AlInSb.

abc: 4.8919 4.8919 4.8919
angles: 60.00 60.00 60.00
With the nearest neighbours (Å) after each atom.
Sites, in units of the cell vectors:
Sb (0.0000, 0.0000, 0.0000)  4 In 3.00
Al (0.5000, 0.5000, 0.5000)  4 In 3.00
In (0.2500, 0.2500, 0.2500)  4 Sb 3.00, 4 Al 3.00

Output
ΔE_f (raw) = 1.0 eV/f.u.
E = -3.550 eV/atom
density of states at the Fermi level = 1.64 states/eV per cell

Entry 20:
VASP calculation (PBEsol) on an optimized crystal structure of AlInSb2.

abc: 4.4796 4.4796 7.7609
angles: 73.23 73.23 60.00
With the nearest neighbours (Å) after each atom.
Sites, in units of the cell vectors:
Sb (0.8792, 0.8792, 0.3624)  1 Al 2.66, 3 In 2.78
Sb (0.3710, 0.3710, 0.8870)  3 Al 2.71, 1 In 2.82
Al (0.0005, 0.0005, 0.9986)  4 Sb 2.66-2.71
In (0.4993, 0.4993, 0.5020)  4 Sb 2.78-2.82

Output
ΔE_f (raw) = -0.3 eV/f.u.
E = -4.129 eV/atom

Number 1: total moment 0.00 μB per atom. Number 2: total moment 0.00 μB per atom. Number 3: total moment 0.00 μB per atom. Number 4: total moment 0.00 μB per atom. Number 5: total moment 0.00 μB per atom. Number 6: total moment 0.00 μB per atom. Number 7: total moment 0.00 μB per atom. Number 8: total moment 0.00 μB per atom. Number 9: total moment 0.00 μB per atom. Number 10: total moment 0.00 μB per atom. Number 11: total moment 0.00 μB per atom. Number 12: total moment 0.00 μB per atom. Number 13: total moment 0.00 μB per atom. Number 14: total moment 0.00 μB per atom. Number 15: total moment 0.00 μB per atom. Number 16: total moment 0.00 μB per atom. Number 17: total moment 0.00 μB per atom. Number 18: total moment 0.00 μB per atom. Number 19: total moment 0.00 μB per atom. Number 20: total moment 0.00 μB per atom.